A relaxed Na2PaCrO5 crystal. Source: Alexandria, functional PBE with a Hubbard U.

density of states at the Fermi level = 6.951 states/eV/cell
volume = 16.50 Å³/atom
total energy = -6.977 eV per atom

Cell: 4.2648 4.2648 8.1639 Å, 90.00 90.00 90.00°
Last column: nearest neighbours and their distance in Å.
Space group P4/mmm (No. 123)
One atom of each set of equivalent atoms:
Na 0.0000 0.0000 0.2308  1 O 2.20
Pa 0.5000 0.5000 0.0000  6 O 2.13-2.18
Cr 0.5000 0.5000 0.5000  2 O 1.91
O 0.0000 0.0000 0.5000  2 Na 2.20
O 0.0000 0.5000 0.0000  2 Pa 2.13
O 0.5000 0.5000 0.2664  1 Cr 1.91